10
Lattice="0.000 5.869 5.869 5.869 0.000 5.869 5.869 5.869 0.000" Properties=species:S:1:pos:R:3 comment="Rb2NaRuI6 (PBE, optimized geometry)" formation_energy_uncorrected_ev_per_atom=-0.78 space_group="Fm-3m, No. 225" energy_ev_per_atom=-2.967 vol_a3_per_cell=404.4 pbc="T T T"
Rb 2.935 2.935 2.935
Rb 8.804 8.804 8.804
Na 0.000 0.000 0.000
Ru 5.869 5.869 5.869
I 5.869 5.869 3.145
I 5.869 3.145 5.869
I 8.594 5.869 5.869
I 3.145 5.869 5.869
I 5.869 8.594 5.869
I 5.869 5.869 8.594

---

7
Lattice="-2.674 2.674 9.781 2.674 -2.674 9.781 2.674 2.674 -9.781" Properties=species:S:1:pos:R:3 comment="Rb2Na2SI2 (PBE, optimized geometry)" formation_energy_uncorrected_ev_per_atom=-1.24 space_group="I4/mmm, No. 139" energy_ev_per_atom=-2.930 vol_a3_per_cell=279.8 pbc="T T T"
Rb 0.000 0.000 3.211
Rb 0.000 0.000 16.350
Na 2.674 0.000 0.000
Na 0.000 2.674 0.000
S 0.000 0.000 0.000
I 0.000 0.000 7.005
I 0.000 0.000 12.556

---

5
Lattice="5.331 0.000 0.000 0.000 5.331 0.000 0.000 0.000 6.527" Properties=species:S:1:pos:R:3 comment="RbNa2SI (PBE, optimized geometry)" formation_energy_uncorrected_ev_per_atom=-1.12 space_group="P4/mmm, No. 123" energy_ev_per_atom=-2.973 vol_a3_per_cell=185.5 pbc="T T T"
Rb 0.000 0.000 0.000
Na 0.000 2.666 3.264
Na 2.666 0.000 3.264
S 0.000 0.000 3.264
I 2.666 2.666 0.000

---

5
Lattice="5.656 0.000 0.000 0.000 5.656 0.000 0.000 0.000 6.570" Properties=species:S:1:pos:R:3 comment="RbNaSb2I (PBE, optimized geometry)" e_above_lowest_polymorph_mev_per_atom=0 formation_energy_uncorrected_ev_per_atom=0.02 space_group="P4/mmm, No. 123" energy_ev_per_atom=-2.392 vol_a3_per_cell=210.2 pbc="T T T"
Rb 0.000 0.000 0.000
Na 2.828 2.828 3.285
Sb 0.000 2.828 3.285
Sb 2.828 0.000 3.285
I 2.828 2.828 0.000

---

5
Lattice="6.519 0.000 0.000 0.000 6.519 0.000 0.000 0.000 6.805" Properties=species:S:1:pos:R:3 comment="RbNaSb2I (PBE, optimized geometry)" e_above_lowest_polymorph_mev_per_atom=496 formation_energy_uncorrected_ev_per_atom=0.52 space_group="P4/mmm, No. 123" energy_ev_per_atom=-1.896 vol_a3_per_cell=289.2 pbc="T T T"
Rb 0.000 0.000 0.000
Na 3.259 3.259 3.403
Sb 0.000 3.259 0.000
Sb 3.259 0.000 0.000
I 0.000 0.000 3.403

---

12
Lattice="3.888 2.245 10.948 -3.888 2.245 10.948 0.000 -4.489 10.948" Properties=species:S:1:pos:R:3 comment="RbNaSc2I8 (PBE, optimized geometry)" formation_energy_uncorrected_ev_per_atom=-1.21 space_group="R-3, No. 148" energy_ev_per_atom=-3.493 vol_a3_per_cell=573.3 pbc="T T T"
Rb 0.000 0.000 0.000
Na 0.000 0.000 16.422
Sc 0.000 0.000 8.210
Sc 0.000 0.000 24.634
I -2.669 0.071 14.474
I -1.396 -2.276 18.371
I 0.000 0.000 10.917
I 1.273 -2.347 14.474
I -1.273 2.347 18.371
I 0.000 0.000 21.928
I 1.396 2.276 14.474
I 2.669 -0.071 18.371

---

10
Lattice="-4.220 4.220 6.358 4.220 -4.220 6.358 4.220 4.220 -6.358" Properties=species:S:1:pos:R:3 comment="Rb2NaSeI6 (PBE, optimized geometry)" formation_energy_uncorrected_ev_per_atom=-0.74 space_group="I4/mmm, No. 139" energy_ev_per_atom=-2.342 vol_a3_per_cell=453.0 pbc="T T T"
Rb 4.220 0.000 3.179
Rb 0.000 4.220 3.179
Na 0.000 0.000 0.000
Se 0.000 0.000 6.358
I 0.000 0.000 3.044
I 2.245 2.245 0.000
I 1.975 -1.975 6.358
I -1.975 1.975 6.358
I 1.975 1.975 6.358
I 0.000 0.000 9.672

---

10
Lattice="4.139 2.390 7.604 -4.139 2.390 7.604 0.000 -4.779 7.604" Properties=species:S:1:pos:R:3 comment="RbNa2SmI6 (PBE, optimized geometry)" formation_energy_uncorrected_ev_per_atom=-1.36 space_group="R3, No. 146" energy_ev_per_atom=-3.119 vol_a3_per_cell=451.2 pbc="T T T"
Rb 0.000 0.000 0.000
Na 0.000 0.000 6.646
Na 0.000 0.000 18.393
Sm 0.000 0.000 10.976
I -2.364 -0.424 8.982
I -1.355 -2.282 12.603
I 1.549 -1.835 8.982
I -1.299 2.314 12.603
I 0.815 2.260 8.982
I 2.654 -0.032 12.603